1.
Density functional theory data (PBE-GGA) for a geometry-optimized PrEr2TeO8 structure.

a = 4.9968 Å, b = 4.9982 Å, c = 7.0489 Å
α = 90.00°, β = 90.00°, γ = 90.48°
Last column: nearest neighbours and their distance in Å.
Positions (direct):
O (0.1851, 0.8137, 0.7953)  1 Te 1.95
O (0.7207, 0.7220, 0.0000)  1 Te 1.96
O (0.6746, 0.6765, 0.5000)  2 Er 2.22, 1 Pr 2.28, 1 O 2.47
O (0.3254, 0.3235, 0.5000)  2 Er 2.22, 1 Pr 2.28, 1 O 2.47
O (0.8149, 0.1863, 0.7953)  1 Te 1.95
O (0.2793, 0.2780, 0.0000)  1 Te 1.96
O (0.8149, 0.1863, 0.2047)  1 Te 1.95
O (0.1851, 0.8137, 0.2047)  1 Te 1.95
Pr (0.0000, 0.0000, 0.5000)  6 O 2.28-2.46
Er (0.5000, 0.5000, 0.7621)  6 O 2.22-2.29
Er (0.5000, 0.5000, 0.2379)  6 O 2.22-2.29
Te (0.0000, 0.0000, 0.0000)  6 O 1.95-1.96

VASP energy (eV/atom): -7.2189
Space-group type: No. 10
Magnetic moment (μB/f.u.): 0.82
Formation energy from raw total energies (eV per formula unit): -29.9

---

2.
Density functional theory data (PBE-GGA) for a geometry-optimized Pr2ErTe2O2 structure.

a = 4.3789 Å, b = 4.3789 Å, c = 8.9683 Å
α = 104.13°, β = 104.13°, γ = 90.00°
Last column: nearest neighbours and their distance in Å.
Positions (direct):
Te (0.8184, 0.8184, 0.6368)  1 Er 3.06, 4 Pr 3.33
Te (0.1816, 0.1816, 0.3632)  1 Er 3.06, 4 Pr 3.33
O (0.5000, 0.0000, 0.0000)  2 Er 2.19
O (0.0000, 0.5000, 0.0000)  2 Er 2.19
Pr (0.6088, 0.6088, 0.2175)  4 O 2.85
Pr (0.3912, 0.3912, 0.7825)  4 O 2.85
Er (0.0000, 0.0000, 0.0000)  4 O 2.19

VASP energy (eV/atom): -6.5540
Space-group type: No. 139
Magnetic moment (μB/f.u.): 0.00
Formation energy from raw total energies (eV per formula unit): -15.6

---

3.
Density functional theory data (PBE-GGA) for a geometry-optimized Pr2ErTlO6 structure.

a = 5.9804 Å, b = 5.9804 Å, c = 6.1724 Å
α = 61.02°, β = 61.02°, γ = 60.00°
Last column: nearest neighbours and their distance in Å.
Positions (direct):
O (0.4459, 0.6936, 0.7554)  1 Er 2.21, 1 Pr 2.37, 1 Tl 2.41
O (0.1837, 0.9367, 0.2643)  1 Tl 2.27, 1 Er 2.31, 2 Pr 2.38-2.52
O (0.9367, 0.6153, 0.2643)  1 Tl 2.27, 1 Er 2.31, 2 Pr 2.38-2.52
O (0.6153, 0.1837, 0.2643)  1 Tl 2.27, 1 Er 2.31, 2 Pr 2.38-2.52
O (0.1051, 0.4459, 0.7554)  1 Er 2.21, 1 Pr 2.37, 1 Tl 2.41
O (0.6936, 0.1051, 0.7554)  1 Er 2.21, 1 Pr 2.37, 1 Tl 2.41
Er (0.8102, 0.8102, 0.5695)  6 O 2.21-2.31
Tl (0.3084, 0.3084, 0.0749)  6 O 2.27-2.41
Pr (0.0327, 0.0327, 0.9020)  6 O 2.37-2.52
Pr (0.5301, 0.5301, 0.4097)  6 O 2.38-2.50

VASP energy (eV/atom): -7.3149
Space-group type: No. 146
Magnetic moment (μB/f.u.): 0.00
Formation energy from raw total energies (eV per formula unit): -26.9

---

4.
Density functional theory data (PBE-GGA) for a geometry-optimized PrErUO6 structure.

a = 5.7965 Å, b = 5.7965 Å, c = 9.8272 Å
α = 90.00°, β = 90.00°, γ = 120.00°
Last column: nearest neighbours and their distance in Å.
Positions (direct):
O (0.0197, 0.3631, 0.6383)  1 U 2.10, 1 Er 2.25
O (0.3433, 0.3631, 0.8617)  1 U 2.10, 1 Er 2.25
O (0.9803, 0.6369, 0.3617)  1 U 2.10, 1 Er 2.25
O (0.0197, 0.6567, 0.8617)  1 U 2.10, 1 Er 2.25
O (0.6369, 0.6567, 0.6383)  1 U 2.10, 1 Er 2.25
O (0.3433, 0.9803, 0.6383)  1 U 2.10, 1 Er 2.25
O (0.6567, 0.6369, 0.1383)  1 U 2.10, 1 Er 2.25
O (0.3631, 0.0197, 0.1383)  1 U 2.10, 1 Er 2.25
O (0.6369, 0.9803, 0.8617)  1 U 2.10, 1 Er 2.25
O (0.9803, 0.3433, 0.1383)  1 U 2.10, 1 Er 2.25
O (0.3631, 0.3433, 0.3617)  1 U 2.10, 1 Er 2.25
O (0.6567, 0.0197, 0.3617)  1 U 2.10, 1 Er 2.25
U (0.3333, 0.6667, 0.7500)  6 O 2.10
U (0.6667, 0.3333, 0.2500)  6 O 2.10
Er (0.6667, 0.3333, 0.7500)  6 O 2.25
Er (0.3333, 0.6667, 0.2500)  6 O 2.25
Pr (0.0000, 0.0000, 0.5000)  6 O 2.46
Pr (0.0000, 0.0000, 0.0000)  6 O 2.46

VASP energy (eV/atom): -8.9410
Space-group type: No. 163
Magnetic moment (μB/f.u.): 0.00
Formation energy from raw total energies (eV per formula unit): -30.1

---

Number 2 is which compound? Pr2ErTe2O2